# Y2Sn2Ru | Alexandria via LeMat-Bulk | PBE-GGA | relaxed
data_Y2Sn2Ru
_chemical_formula_sum 'Y4 Sn4 Ru2'
_cell_length_a 7.188
_cell_length_b 7.188
_cell_length_c 4.616
_cell_angle_alpha 90.00
_cell_angle_beta 90.00
_cell_angle_gamma 90.00
_space_group_name_H-M_alt 'P 4/m b m'
_space_group_IT_number 127
_space_group_name_Hall '-P 4 2ab'
loop_
_atom_site_label
_atom_site_type_symbol
_atom_site_fract_x
_atom_site_fract_y
_atom_site_fract_z
Y1 Y 0.171 0.329 0.000
Sn1 Sn 0.142 0.642 0.500
Ru1 Ru 0.000 0.000 0.500
# Energy of formation from the pure elements in meV per atom: -531
# DFT total energy in eV per atom: -6.573
# Theoretical density in g/cm³: 7.190